No. 1
The following is a GGA-PBE calculation of an optimized crystal structure of FeCo2HOs, from Alexandria. Values from VASP.

Structure (Quantum ESPRESSO input):
```
&SYSTEM
  ibrav = 0, nat = 5, ntyp = 4
/
ATOMIC_SPECIES
Co 58.93 Co.upf
H 1.01 H.upf
Fe 55.84 Fe.upf
Os 190.23 Os.upf
CELL_PARAMETERS angstrom
-1.6817 -1.2912 -2.9464
-1.4902 -2.6337 2.0048
-2.9428 2.2074 0.7123
ATOMIC_POSITIONS crystal
Co 0.0000 0.5000 0.0000
Co 0.5000 0.0000 0.0000
H 0.0000 0.0000 0.0000
Fe 0.5000 0.5000 0.5000
Os 0.0000 0.0000 0.5000
```

Properties
Calculated total energy: -0.5353 Ry/atom
Mass density: 12.3 Mg/m³
Magnetic moment: 3.636 μB/cell
Polymorph energy (0 for the lowest one): 24.8 meV/atom

=====

No. 2
The following is a GGA-PBE calculation of an optimized crystal structure of FeCo2HOs, from Alexandria. Values from VASP.

Structure (Quantum ESPRESSO input):
```
&SYSTEM
  ibrav = 0, nat = 5, ntyp = 4
/
ATOMIC_SPECIES
Co 58.93 Co.upf
H 1.01 H.upf
Os 190.23 Os.upf
Fe 55.84 Fe.upf
CELL_PARAMETERS angstrom
3.6125 0.0000 0.0000
0.0000 3.6125 0.0000
0.0000 0.0000 3.6847
ATOMIC_POSITIONS crystal
Co 0.0000 0.5000 0.0000
Co 0.5000 0.0000 0.0000
H 0.0000 0.0000 0.0000
Os 0.5000 0.5000 0.5000
Fe 0.0000 0.0000 0.5000
```

Properties
Calculated total energy: -0.5372 Ry/atom
Mass density: 12.6 Mg/m³
Magnetic moment: 3.148 μB/cell
Polymorph energy (0 for the lowest one): 0.0 meV/atom

=====

No. 3
The following is a GGA-PBE calculation of an optimized crystal structure of Fe2CoHOs, from Alexandria. Values from VASP.

Structure (Quantum ESPRESSO input):
```
&SYSTEM
  ibrav = 0, nat = 5, ntyp = 4
/
ATOMIC_SPECIES
Os 190.23 Os.upf
H 1.01 H.upf
Co 58.93 Co.upf
Fe 55.84 Fe.upf
CELL_PARAMETERS angstrom
3.6328 0.0000 0.0000
0.0000 3.6328 0.0000
0.0000 0.0000 3.6074
ATOMIC_POSITIONS crystal
Os 0.5000 0.5000 0.5000
H 0.0000 0.0000 0.0000
Co 0.0000 0.0000 0.5000
Fe 0.5000 0.0000 0.0000
Fe 0.0000 0.5000 0.0000
```

Properties
Calculated total energy: -0.5574 Ry/atom
Mass density: 12.6 Mg/m³
Magnetic moment: 1.962 μB/cell
Polymorph energy (0 for the lowest one): 0.0 meV/atom

=====

No. 4
The following is a GGA-PBE calculation of an optimized crystal structure of Fe2CoHOs, from Alexandria. Values from VASP.

Structure (Quantum ESPRESSO input):
```
&SYSTEM
  ibrav = 0, nat = 5, ntyp = 4
/
ATOMIC_SPECIES
Fe 55.84 Fe.upf
Os 190.23 Os.upf
H 1.01 H.upf
Co 58.93 Co.upf
CELL_PARAMETERS angstrom
3.6525 0.0000 0.0000
0.0000 3.6525 0.0000
0.0000 0.0000 3.7345
ATOMIC_POSITIONS crystal
Fe 0.5000 0.0000 0.0000
Fe 0.0000 0.5000 0.0000
Os 0.0000 0.0000 0.5000
H 0.0000 0.0000 0.0000
Co 0.5000 0.5000 0.5000
```

Properties
Calculated total energy: -0.5527 Ry/atom
Mass density: 12.1 Mg/m³
Magnetic moment: 4.577 μB/cell
Polymorph energy (0 for the lowest one): 63.2 meV/atom

=====

No. 5
The following is a GGA-PBE calculation of an optimized crystal structure of PaFeCoH6, from Alexandria. Values from VASP.

Structure (Quantum ESPRESSO input):
```
&SYSTEM
  ibrav = 0, nat = 9, ntyp = 4
/
ATOMIC_SPECIES
H 1.01 H.upf
Fe 55.84 Fe.upf
Pa 231.04 Pa.upf
Co 58.93 Co.upf
CELL_PARAMETERS angstrom
-1.3079 0.5534 -4.0907
-2.0812 -3.1912 -2.0580
-3.5752 1.4665 1.3415
ATOMIC_POSITIONS crystal
H 0.9986 0.5008 0.7646
H 0.5006 0.9987 0.7646
H 0.5008 0.9987 0.2354
H 0.9986 0.5006 0.2354
H 0.5008 0.5005 0.7646
H 0.5006 0.5007 0.2354
Fe 0.6665 0.6667 0.5000
Pa 0.0000 0.0000 0.0000
Co 0.3333 0.3333 0.5000
```

Properties
Calculated total energy: -0.3881 Ry/atom
Mass density: 8.8 Mg/m³
Magnetic moment: 1.212 μB/cell

=====

No. 6
The following is a GGA-PBE calculation of an optimized crystal structure of Fe2CoHPd, from Alexandria. Values from VASP.

Structure (Quantum ESPRESSO input):
```
&SYSTEM
  ibrav = 0, nat = 5, ntyp = 4
/
ATOMIC_SPECIES
Fe 55.84 Fe.upf
H 1.01 H.upf
Pd 106.42 Pd.upf
Co 58.93 Co.upf
CELL_PARAMETERS angstrom
3.7744 0.0000 0.0000
0.0000 3.7744 0.0000
0.0000 0.0000 3.6544
ATOMIC_POSITIONS crystal
Fe 0.5000 0.0000 0.0000
Fe 0.0000 0.5000 0.0000
H 0.0000 0.0000 0.0000
Pd 0.5000 0.5000 0.5000
Co 0.0000 0.0000 0.5000
```

Properties
Calculated total energy: -0.4786 Ry/atom
Mass density: 8.9 Mg/m³
Magnetic moment: 7.068 μB/cell
Polymorph energy (0 for the lowest one): 0.0 meV/atom

=====

No. 7
The following is a GGA-PBE calculation of an optimized crystal structure of FeCoHPd2, from Alexandria. Values from VASP.

Structure (Quantum ESPRESSO input):
```
&SYSTEM
  ibrav = 0, nat = 5, ntyp = 4
/
ATOMIC_SPECIES
Fe 55.84 Fe.upf
Pd 106.42 Pd.upf
Co 58.93 Co.upf
H 1.01 H.upf
CELL_PARAMETERS angstrom
3.8823 0.0000 0.0000
0.0000 3.8823 0.0000
0.0000 0.0000 3.7906
ATOMIC_POSITIONS crystal
Fe 0.5000 0.5000 0.5000
Pd 0.5000 0.0000 0.0000
Pd 0.0000 0.5000 0.0000
Co 0.0000 0.0000 0.5000
H 0.0000 0.0000 0.0000
```

Properties
Calculated total energy: -0.4299 Ry/atom
Mass density: 9.6 Mg/m³
Magnetic moment: 5.293 μB/cell
Polymorph energy (0 for the lowest one): 0.0 meV/atom

=====

No. 8
The following is a GGA-PBE calculation of an optimized crystal structure of Fe2CoHPd, from Alexandria. Values from VASP.

Structure (Quantum ESPRESSO input):
```
&SYSTEM
  ibrav = 0, nat = 5, ntyp = 4
/
ATOMIC_SPECIES
Fe 55.84 Fe.upf
H 1.01 H.upf
Pd 106.42 Pd.upf
Co 58.93 Co.upf
CELL_PARAMETERS angstrom
-3.0674 0.0312 -2.1530
-0.7513 -3.5273 1.0192
-2.0291 1.2729 2.9095
ATOMIC_POSITIONS crystal
Fe 0.5000 0.0000 0.0000
Fe 0.0000 0.5000 0.0000
H 0.0000 0.0000 0.0000
Pd 0.0000 0.0000 0.5000
Co 0.5000 0.5000 0.5000
```

Properties
Calculated total energy: -0.4747 Ry/atom
Mass density: 8.7 Mg/m³
Magnetic moment: 7.210 μB/cell
Polymorph energy (0 for the lowest one): 53.9 meV/atom

=====

No. 9
The following is a GGA-PBE calculation of an optimized crystal structure of FeCoHPd2, from Alexandria. Values from VASP.

Structure (Quantum ESPRESSO input):
```
&SYSTEM
  ibrav = 0, nat = 5, ntyp = 4
/
ATOMIC_SPECIES
Pd 106.42 Pd.upf
Co 58.93 Co.upf
Fe 55.84 Fe.upf
H 1.01 H.upf
CELL_PARAMETERS angstrom
3.8427 0.0000 0.0000
0.0000 3.8427 0.0000
0.0000 0.0000 3.8888
ATOMIC_POSITIONS crystal
Pd 0.0000 0.5000 0.0000
Pd 0.5000 0.0000 0.0000
Co 0.5000 0.5000 0.5000
Fe 0.0000 0.0000 0.5000
H 0.0000 0.0000 0.0000
```

Properties
Calculated total energy: -0.4266 Ry/atom
Mass density: 9.5 Mg/m³
Magnetic moment: 5.336 μB/cell
Polymorph energy (0 for the lowest one): 44.5 meV/atom

=====

No. 10
The following is a GGA-PBE calculation of an optimized crystal structure of FeCoHPt2, from Alexandria. Values from VASP.

Structure (Quantum ESPRESSO input):
```
&SYSTEM
  ibrav = 0, nat = 5, ntyp = 4
/
ATOMIC_SPECIES
Co 58.93 Co.upf
Pt 195.08 Pt.upf
Fe 55.84 Fe.upf
H 1.01 H.upf
CELL_PARAMETERS angstrom
-2.5970 -0.3454 -2.8470
0.6992 -3.8012 -0.1766
-2.8030 -0.6380 2.6343
ATOMIC_POSITIONS crystal
Co 0.5000 0.5000 0.5000
Pt 0.0000 0.5000 0.0000
Pt 0.5000 0.0000 0.0000
Fe 0.0000 0.0000 0.5000
H 0.0000 0.0000 0.0000
```

Properties
Calculated total energy: -0.4565 Ry/atom
Mass density: 14.4 Mg/m³
Magnetic moment: 5.549 μB/cell
Polymorph energy (0 for the lowest one): 0.0 meV/atom

=====

No. 11
The following is a GGA-PBE calculation of an optimized crystal structure of FeCoHPt2, from Alexandria. Values from VASP.

Structure (Quantum ESPRESSO input):
```
&SYSTEM
  ibrav = 0, nat = 5, ntyp = 4
/
ATOMIC_SPECIES
Pt 195.08 Pt.upf
H 1.01 H.upf
Fe 55.84 Fe.upf
Co 58.93 Co.upf
CELL_PARAMETERS angstrom
3.9058 0.0000 0.0000
0.0000 3.9058 0.0000
0.0000 0.0000 3.6720
ATOMIC_POSITIONS crystal
Pt 0.5000 0.0000 0.0000
Pt 0.0000 0.5000 0.0000
H 0.0000 0.0000 0.0000
Fe 0.5000 0.5000 0.5000
Co 0.0000 0.0000 0.5000
```

Properties
Calculated total energy: -0.4397 Ry/atom
Mass density: 15.0 Mg/m³
Magnetic moment: 1.076 μB/cell
Polymorph energy (0 for the lowest one): 227.8 meV/atom

=====

No. 12
The following is a GGA-PBE calculation of an optimized crystal structure of Fe2CoHPt, from Alexandria. Values from VASP.

Structure (Quantum ESPRESSO input):
```
&SYSTEM
  ibrav = 0, nat = 5, ntyp = 4
/
ATOMIC_SPECIES
Fe 55.84 Fe.upf
H 1.01 H.upf
Pt 195.08 Pt.upf
Co 58.93 Co.upf
CELL_PARAMETERS angstrom
-3.0749 -0.3282 -1.9175
-1.6698 -1.3951 2.9164
-1.0055 3.3687 1.0358
ATOMIC_POSITIONS crystal
Fe 0.0000 0.5000 0.0000
Fe 0.5000 0.0000 0.0000
H 0.0000 0.0000 0.0000
Pt 0.5000 0.5000 0.5000
Co 0.0000 0.0000 0.5000
```

Properties
Calculated total energy: -0.4845 Ry/atom
Mass density: 12.5 Mg/m³
Magnetic moment: 0.001 μB/cell
Polymorph energy (0 for the lowest one): 107.6 meV/atom

=====

Number 12 is which compound? Fe2CoHPt

=====

Which value of mass density does entry 1 give? 12.3 Mg/m³

=====

What is the formula in the fourth record? Fe2CoHOs